# ZrZnRh3

An optimized crystal structure of ZrZnRh3 (GGA-PBE, the Alexandria database).

It has space group Pm-3m (No. 221), with a = 4.7840 Å, b = 4.7840 Å, c = 4.7840 Å, α = 90.00°, β = 90.00° and γ = 90.00°. The distinct sites, in fractional coordinates, are Zr at (0.0000, 0.0000, 0.0000), Zn at (0.5000, 0.5000, 0.5000) and Rh at (0.0000, 0.0000, 0.5000).

For the formation energy, the calculation gives 856.8 meV/atom.